## a
VASP calculation (GGA-PBE) on a relaxed structure of HoEr6Sc4.

a = 9.3597 Å, b = 9.3597 Å, c = 9.3597 Å
α = 140.57°, β = 140.57°, γ = 56.99°
Element x y z (fractional)
Ho 0.0000 0.0000 0.0000
Er 0.0000 0.5000 0.5000
Er 0.0106 0.6342 0.0000
Er 0.3658 0.3658 0.3764
Er 0.5000 0.0000 0.5000
Er 0.6342 0.0106 0.0000
Er 0.9894 0.9894 0.6236
Sc 0.1979 0.1979 0.6497
Sc 0.4518 0.8021 0.0000
Sc 0.5482 0.5482 0.3503
Sc 0.8021 0.4518 0.0000

Computed properties:
Theoretical density: 6.83 Mg/m³
SG: No. 121

## b
VASP calculation (GGA-PBE) on a relaxed structure of HoEr6Sc4.

a = 7.5145 Å, b = 7.5145 Å, c = 7.5145 Å
α = 111.63°, β = 111.63°, γ = 105.23°
Element x y z (fractional)
Ho 0.0000 0.0000 0.0000
Er 0.0000 0.5000 0.5000
Er 0.2563 0.5152 0.0000
Er 0.4848 0.4848 0.7411
Er 0.5000 0.0000 0.5000
Er 0.5152 0.2563 0.0000
Er 0.7437 0.7437 0.2589
Sc 0.0976 0.0976 0.5949
Sc 0.4973 0.9024 0.0000
Sc 0.5027 0.5027 0.4051
Sc 0.9024 0.4973 0.0000

Computed properties:
Theoretical density: 6.88 Mg/m³
SG: No. 121

Going by the energies, a is most stable and the next is 0.310 eV/atom up.

## a
VASP calculation (GGA-PBE) on a relaxed structure of HoErSc4.

a = 6.2355 Å, b = 6.2355 Å, c = 6.2355 Å
α = 60.00°, β = 60.00°, γ = 60.00°
Element x y z (fractional)
Ho 0.0000 0.0000 0.0000
Er 0.2500 0.2500 0.2500
Sc 0.1250 0.6250 0.6250
Sc 0.6250 0.1250 0.6250
Sc 0.6250 0.6250 0.1250
Sc 0.6250 0.6250 0.6250

Computed properties:
Theoretical density: 4.96 Mg/m³
SG: No. 216

## b
VASP calculation (GGA-PBE) on a relaxed structure of HoErSc4.

a = 8.8812 Å, b = 8.8812 Å, c = 10.8095 Å
α = 90.00°, β = 90.00°, γ = 158.14°
Element x y z (fractional)
Ho 0.1630 0.8370 0.5000
Ho 0.8370 0.1630 0.0000
Er 0.2798 0.7202 0.2565
Er 0.7202 0.2798 0.7565
Sc 0.0520 0.9480 0.7567
Sc 0.1634 0.8366 0.0093
Sc 0.3927 0.6073 0.7509
Sc 0.4967 0.5033 0.5053
Sc 0.5033 0.4967 0.0053
Sc 0.6073 0.3927 0.2509
Sc 0.8366 0.1634 0.5093
Sc 0.9480 0.0520 0.2567

Computed properties:
Theoretical density: 5.36 Mg/m³
SG: No. 36

Going by the energies, b is most stable and the next is 0.195 eV/atom up.

## a
VASP calculation (GGA-PBE) on a relaxed structure of Ho2Er5Sc2.

a = 10.9931 Å, b = 10.9931 Å, c = 10.9931 Å
α = 58.33°, β = 135.99°, γ = 143.69°
Element x y z (fractional)
Ho 0.0000 0.0000 0.0000
Ho 0.0000 0.5000 0.5000
Ho 0.0852 0.2800 0.3052
Ho 0.9749 0.7800 0.6948
Er 0.0323 0.4476 0.9147
Er 0.0323 0.6176 0.0847
Er 0.0535 0.1724 0.6616
Er 0.0535 0.8919 0.3811
Er 0.4874 0.2838 0.7036
Er 0.5108 0.3919 0.3384
Er 0.5108 0.6724 0.6189
Er 0.5329 0.1176 0.0853
Er 0.5329 0.9476 0.9153
Er 0.5802 0.7838 0.2964
Sc 0.3985 0.5715 0.9102
Sc 0.3985 0.9883 0.3270
Sc 0.6613 0.0715 0.6730
Sc 0.6613 0.4883 0.0898

Computed properties:
Theoretical density: 7.70 Mg/m³
SG: No. 46

## b
VASP calculation (GGA-PBE) on a relaxed structure of Ho2Er5Sc2.

a = 8.8663 Å, b = 8.8663 Å, c = 9.3116 Å
α = 104.17°, β = 104.17°, γ = 22.22°
Element x y z (fractional)
Ho 0.1474 0.1474 0.0289
Ho 0.8526 0.8526 0.9711
Er 0.0000 0.0000 0.5000
Er 0.1685 0.1685 0.3990
Er 0.3419 0.3419 0.2870
Er 0.6581 0.6581 0.7130
Er 0.8315 0.8315 0.6010
Sc 0.4878 0.4878 0.8225
Sc 0.5122 0.5122 0.1775

Computed properties:
Theoretical density: 7.78 Mg/m³
SG: No. 12

Going by the energies, b is most stable and the next is 0.109 eV/atom up.